(1)
Material: P2PbAu
Method: DFT, GGA-PBE
State: relaxed

* final energy: -0.2856 Ry/atom
* spin magnetization: 0.0 μB per formula unit

a = 5.2184 Å, b = 5.2184 Å, c = 2.9749 Å
α = 90.00°, β = 90.00°, γ = 90.00°
Element x y z (fractional)
P 0.0000 0.5000 0.0000
P 0.5000 0.0000 0.0000
Pb 0.0000 0.0000 0.5000
Au 0.5000 0.5000 0.5000

=====

(2)
Material: P2PbAu
Method: DFT, GGA-PBE
State: relaxed

* final energy: -0.3104 Ry/atom
* spin magnetization: 0.0 μB per formula unit

a = 5.4121 Å, b = 5.4121 Å, c = 5.6769 Å
α = 115.31°, β = 115.31°, γ = 35.44°
Element x y z (fractional)
P 0.0000 0.0000 0.0000
P 0.6546 0.6546 0.0168
Pb 0.4433 0.4433 0.4380
Au 0.2657 0.2657 0.7695

=====

(3)
Material: PPbAu3
Method: DFT, GGA-PBE
State: relaxed

* energy relative to the lowest polymorph listed for this composition: 98.1 kJ per mole of atoms
* final energy: -0.1930 Ry/atom
* spin magnetization: 2.4 μB per formula unit

a = 5.3731 Å, b = 5.3731 Å, c = 5.3731 Å
α = 90.00°, β = 90.00°, γ = 90.00°
Element x y z (fractional)
P 0.0000 0.0000 0.0000
Pb 0.5000 0.5000 0.5000
Au 0.0000 0.5000 0.5000
Au 0.5000 0.0000 0.5000
Au 0.5000 0.5000 0.0000